# 1
Below is BSBr2 at its PBEsol-relaxed geometry, with properties calculated at the meta-GGA SCAN level. Values from VASP.

Volume: 18.43 Å³ per atom
ΔE_f (raw): 1.6634 eV/atom
E_tot: -12.331 eV per atom
Space group: Fm-3m (225)

```
&SYSTEM
  ibrav = 0, nat = 4, ntyp = 3
/
ATOMIC_SPECIES
Br 79.90 Br.upf
S 32.06 S.upf
B 10.81 B.upf
CELL_PARAMETERS angstrom
-0.254 4.034 -2.410
-2.906 3.415 1.429
1.750 3.959 1.848
ATOMIC_POSITIONS angstrom
Br -0.352 2.852 0.217
Br -1.057 8.556 0.650
S -0.705 5.704 0.433
B 0.000 0.000 0.000
```

# 2
Below is Cs2ZrI6 at its PBEsol-relaxed geometry, with properties calculated at the meta-GGA SCAN level. Values from VASP.

Volume: 42.43 Å³ per atom
ΔE_f (raw): -1.3995 eV/atom
E_tot: -37.707 eV per atom
Space group: Fm-3m (225)

```
&SYSTEM
  ibrav = 0, nat = 9, ntyp = 3
/
ATOMIC_SPECIES
I 126.90 I.upf
Zr 91.22 Zr.upf
Cs 132.91 Cs.upf
CELL_PARAMETERS angstrom
8.144 0.000 0.000
4.072 7.053 0.000
4.072 2.351 6.649
ATOMIC_POSITIONS angstrom
I 6.085 3.513 5.005
I 6.085 5.890 1.644
I 10.202 3.513 5.005
I 10.202 5.890 1.644
I 8.144 2.325 1.644
I 8.144 7.078 5.005
Zr 0.000 0.000 0.000
Cs 4.072 2.351 1.662
Cs 12.215 7.053 4.987
```

# 3
Below is Na2CoOsS at its PBEsol-relaxed geometry, with properties calculated at the meta-GGA SCAN level. Values from VASP.

Volume: 20.99 Å³ per atom
ΔE_f (raw): 0.6565 eV/atom
E_tot: -20.792 eV per atom
Space group: P4/mmm (123)

```
&SYSTEM
  ibrav = 0, nat = 5, ntyp = 4
/
ATOMIC_SPECIES
Os 190.23 Os.upf
Co 58.93 Co.upf
Na 22.99 Na.upf
S 32.06 S.upf
CELL_PARAMETERS angstrom
4.276 0.000 0.000
0.000 4.955 0.000
0.000 0.000 4.955
ATOMIC_POSITIONS angstrom
Os 2.138 0.000 0.000
Co 2.138 2.477 2.477
Na 0.000 0.000 2.477
Na 0.000 2.477 0.000
S 0.000 0.000 0.000
```

# 4
Below is CsHN2F at its PBEsol-relaxed geometry, with properties calculated at the meta-GGA SCAN level. Values from VASP.

Volume: 14.58 Å³ per atom
E_tot: -11.559 eV per atom
Space group: P4/mmm (123)

```
&SYSTEM
  ibrav = 0, nat = 5, ntyp = 4
/
ATOMIC_SPECIES
N 14.01 N.upf
H 1.01 H.upf
Cs 132.91 Cs.upf
F 19.00 F.upf
CELL_PARAMETERS angstrom
3.595 0.000 0.000
0.000 3.595 0.000
0.000 0.000 5.640
ATOMIC_POSITIONS angstrom
N 0.000 1.798 0.000
N 1.798 0.000 0.000
H 0.000 0.000 0.000
Cs 1.798 1.798 2.820
F 0.000 0.000 2.820
```

# 5
Below is KCaTa at its PBEsol-relaxed geometry, with properties calculated at the meta-GGA SCAN level. Values from VASP.

Volume: 39.74 Å³ per atom
E_tot: -26.275 eV per atom
DFT formation energy: 1.917 eV/atom
Space group: F-43m (216)

```
&SYSTEM
  ibrav = 0, nat = 3, ntyp = 3
/
ATOMIC_SPECIES
Ca 40.08 Ca.upf
Ta 180.95 Ta.upf
K 39.10 K.upf
CELL_PARAMETERS angstrom
5.525 0.000 0.000
2.762 4.784 0.000
2.762 1.595 4.511
ATOMIC_POSITIONS angstrom
Ca 2.762 1.595 1.128
Ta 5.525 3.190 2.255
K 0.000 0.000 0.000
```

# 6
Below is Ta2SiAg at its PBEsol-relaxed geometry, with properties calculated at the meta-GGA SCAN level. Values from VASP.

Volume: 15.90 Å³ per atom
ΔE_f (raw): 0.0199 eV/atom
E_tot: -43.617 eV per atom
Space group: P4/mmm (123)

```
&SYSTEM
  ibrav = 0, nat = 4, ntyp = 3
/
ATOMIC_SPECIES
Si 28.09 Si.upf
Ag 107.87 Ag.upf
Ta 180.95 Ta.upf
CELL_PARAMETERS angstrom
-2.503 0.665 1.169
-0.057 -2.520 1.312
3.724 3.137 6.190
ATOMIC_POSITIONS angstrom
Si 0.582 0.641 4.335
Ag -1.280 -0.927 1.240
Ta 2.699 2.274 4.487
Ta 1.024 0.863 1.703
```

# 7
Below is TiAsRhSe2 at its PBEsol-relaxed geometry, with properties calculated at the meta-GGA SCAN level. Values from VASP.

Volume: 21.42 Å³ per atom
ΔE_f (raw): 0.3733 eV/atom
E_tot: -21.656 eV per atom
Space group: P4/mmm (123)

```
&SYSTEM
  ibrav = 0, nat = 5, ntyp = 4
/
ATOMIC_SPECIES
Se 78.96 Se.upf
Ti 47.87 Ti.upf
Rh 102.91 Rh.upf
As 74.92 As.upf
CELL_PARAMETERS angstrom
4.730 0.000 0.000
0.000 4.730 0.000
0.000 0.000 4.787
ATOMIC_POSITIONS angstrom
Se 2.365 0.000 0.000
Se 0.000 2.365 0.000
Ti 0.000 0.000 0.000
Rh 2.365 2.365 2.394
As 0.000 0.000 2.394
```

# 8
Below is TiTc3Pb at its PBEsol-relaxed geometry, with properties calculated at the meta-GGA SCAN level. Values from VASP.

Volume: 22.52 Å³ per atom
E_tot: -37.048 eV per atom
DFT formation energy: 2.351 eV/atom
Space group: Pm-3m (221)

```
&SYSTEM
  ibrav = 0, nat = 5, ntyp = 3
/
ATOMIC_SPECIES
Tc 98.00 Tc.upf
Ti 47.87 Ti.upf
Pb 207.20 Pb.upf
CELL_PARAMETERS angstrom
-2.809 1.752 -3.516
-3.603 -2.872 1.447
-1.566 3.465 2.978
ATOMIC_POSITIONS angstrom
Tc -1.801 -1.436 0.723
Tc -1.404 0.876 -1.758
Tc -0.783 1.732 1.489
Ti -3.989 1.173 0.454
Pb 0.000 0.000 0.000
```

# 9
Below is NdRh3C at its PBEsol-relaxed geometry, with properties calculated at the meta-GGA SCAN level. Values from VASP.

Volume: 14.51 Å³ per atom
E_tot: -31.449 eV per atom
DFT formation energy: -0.450 eV/atom
Space group: Pm-3m (221)

```
&SYSTEM
  ibrav = 0, nat = 5, ntyp = 3
/
ATOMIC_SPECIES
Rh 102.91 Rh.upf
C 12.01 C.upf
Nd 144.24 Nd.upf
CELL_PARAMETERS angstrom
4.171 0.000 0.000
0.000 4.171 0.000
0.000 0.000 4.171
ATOMIC_POSITIONS angstrom
Rh 0.000 2.086 2.086
Rh 2.086 0.000 2.086
Rh 2.086 2.086 0.000
C 2.086 2.086 2.086
Nd 0.000 0.000 0.000
```

# 10
Below is CaIrSe2N at its PBEsol-relaxed geometry, with properties calculated at the meta-GGA SCAN level. Values from VASP.

Volume: 19.68 Å³ per atom
ΔE_f (raw): -0.5079 eV/atom
E_tot: -26.550 eV per atom
Space group: P4/mmm (123)

```
&SYSTEM
  ibrav = 0, nat = 5, ntyp = 4
/
ATOMIC_SPECIES
N 14.01 N.upf
Se 78.96 Se.upf
Ca 40.08 Ca.upf
Ir 192.22 Ir.upf
CELL_PARAMETERS angstrom
3.670 0.000 0.000
0.000 5.178 0.000
0.000 0.000 5.178
ATOMIC_POSITIONS angstrom
N 1.835 0.000 0.000
Se 0.000 0.000 2.589
Se 0.000 2.589 0.000
Ca 1.835 2.589 2.589
Ir 0.000 0.000 0.000
```

# 11
Below is Na2CrCl at its PBEsol-relaxed geometry, with properties calculated at the meta-GGA SCAN level. Values from VASP.

Volume: 28.67 Å³ per atom
ΔE_f (raw): -0.2232 eV/atom
E_tot: -8.921 eV per atom
Space group: I-42d (122)

```
&SYSTEM
  ibrav = 0, nat = 8, ntyp = 3
/
ATOMIC_SPECIES
Na 22.99 Na.upf
Cr 52.00 Cr.upf
Cl 35.45 Cl.upf
CELL_PARAMETERS angstrom
-1.441 1.754 4.367
-6.872 -1.944 1.286
1.463 -4.844 5.201
ATOMIC_POSITIONS angstrom
Na -5.854 -3.143 4.184
Na -0.636 -2.330 5.579
Na -4.213 -3.940 9.205
Na -2.996 -0.655 2.741
Cr -3.785 -2.079 6.519
Cr 0.000 0.000 0.000
Cl -3.065 -2.955 4.336
Cl -0.720 0.877 2.183
```

# 12
Below is MnSO3 at its PBEsol-relaxed geometry, with properties calculated at the meta-GGA SCAN level. Values from VASP.

Volume: 12.60 Å³ per atom
ΔE_f (raw): -1.6732 eV/atom
E_tot: -10.989 eV per atom
Space group: R-3 (148)

```
&SYSTEM
  ibrav = 0, nat = 30, ntyp = 3
/
ATOMIC_SPECIES
Mn 54.94 Mn.upf
O 16.00 O.upf
S 32.06 S.upf
CELL_PARAMETERS angstrom
7.879 -0.007 -0.011
-2.605 7.436 -0.011
-2.605 -3.670 6.467
ATOMIC_POSITIONS angstrom
Mn -1.270 3.720 4.080
Mn 0.625 4.390 1.198
Mn 2.043 -0.631 5.246
Mn -1.262 0.221 4.411
Mn 3.938 0.039 2.364
Mn 3.930 3.538 2.033
O -1.094 -0.826 6.336
O 3.174 0.870 4.247
O 3.088 -2.398 4.462
O 0.687 -2.301 5.581
O 3.762 4.585 0.109
O 2.895 1.679 1.496
O 1.982 6.060 0.864
O -0.226 2.080 4.948
O -2.398 4.912 2.651
O -3.282 2.838 4.045
O -0.505 2.890 2.198
O -2.760 1.135 5.700
O 2.039 4.074 2.847
O 5.067 -1.153 3.793
O 5.428 2.625 0.744
O -0.419 6.157 1.983
O 5.951 0.921 2.400
O 0.630 -0.315 3.597
S 0.664 -1.101 2.255
S 2.004 4.860 4.189
S 3.927 1.926 5.105
S -1.259 1.833 1.340
S 0.523 2.306 6.293
S 2.146 1.454 0.152
```

# 13
Below is YBe2Ga at its PBEsol-relaxed geometry, with properties calculated at the meta-GGA SCAN level. Values from VASP.

Volume: 17.04 Å³ per atom
E_tot: -13.327 eV per atom
DFT formation energy: -0.103 eV/atom
Space group: I4_1/amd (141)

```
&SYSTEM
  ibrav = 0, nat = 8, ntyp = 3
/
ATOMIC_SPECIES
Be 9.01 Be.upf
Y 88.91 Y.upf
Ga 69.72 Ga.upf
CELL_PARAMETERS angstrom
4.224 0.000 0.000
0.000 4.224 0.000
-2.112 -2.112 7.638
ATOMIC_POSITIONS angstrom
Be 2.112 1.056 1.909
Be 1.056 0.000 5.728
Be 2.112 3.168 1.909
Be -1.056 0.000 5.728
Y 0.000 2.112 3.819
Y 0.000 0.000 0.000
Ga 2.112 2.112 0.000
Ga 2.112 0.000 3.819
```

# 14
Below is KIr2Rh at its PBEsol-relaxed geometry, with properties calculated at the meta-GGA SCAN level. Values from VASP.

Volume: 16.11 Å³ per atom
E_tot: -45.129 eV per atom
DFT formation energy: 0.945 eV/atom
Space group: Pmmm (47)

```
&SYSTEM
  ibrav = 0, nat = 4, ntyp = 3
/
ATOMIC_SPECIES
Rh 102.91 Rh.upf
K 39.10 K.upf
Ir 192.22 Ir.upf
CELL_PARAMETERS angstrom
-1.449 -0.029 2.257
-3.570 -2.130 -2.320
1.925 -4.511 1.178
ATOMIC_POSITIONS angstrom
Rh -0.823 -3.320 -0.571
K 0.238 -2.270 1.718
Ir -2.510 -1.079 -0.031
Ir 0.000 0.000 0.000
```

# 15
Below is Li13Co15O28 at its PBEsol-relaxed geometry, with properties calculated at the meta-GGA SCAN level. Values from VASP.

Volume: 7.93 Å³ per atom
ΔE_f (raw): -1.8101 eV/atom
E_tot: -10.116 eV per atom
Space group: P-1 (2)

```
&SYSTEM
  ibrav = 0, nat = 56, ntyp = 3
/
ATOMIC_SPECIES
O 16.00 O.upf
Co 58.93 Co.upf
Li 6.94 Li.upf
CELL_PARAMETERS angstrom
7.464 -0.066 0.011
-2.059 7.702 0.016
-2.172 -2.662 7.731
ATOMIC_POSITIONS angstrom
O 0.113 2.178 2.743
O -3.068 5.467 6.111
O 2.759 0.808 6.615
O -1.480 3.811 4.404
O 3.315 5.082 0.554
O 5.459 3.604 1.653
O 6.300 -0.492 1.648
O 1.008 4.297 3.907
O 0.632 2.312 5.504
O -0.632 -0.269 4.436
O 1.747 6.743 2.216
O 3.119 2.796 5.015
O 0.473 4.167 1.144
O -2.539 -0.674 7.704
O 4.188 1.025 0.593
O 4.712 1.163 3.355
O 1.485 -1.768 5.543
O -2.227 1.371 6.106
O 1.556 4.418 6.715
O -0.955 3.950 7.166
O -0.083 -0.108 7.205
O -1.114 5.794 2.797
O 5.771 5.649 0.055
O 2.225 0.677 3.852
O 2.600 2.662 2.255
O 4.346 -0.819 4.962
O 1.676 0.556 1.044
O 3.864 5.244 3.323
Co -1.596 -0.419 6.069
Co 1.616 2.487 3.879
Co 0.528 -1.924 7.177
Co 2.124 2.597 6.645
Co 2.704 6.898 0.582
Co -1.030 3.851 0.008
Co 4.828 5.394 1.690
Co 0.000 0.000 0.000
Co 1.108 2.378 1.113
Co 3.733 0.988 4.985
Co -0.501 3.987 2.774
Co 0.027 4.122 5.534
Co 5.318 -0.646 3.328
Co 3.206 0.852 2.224
Co -2.086 5.621 4.431
Li 5.859 1.589 1.692
Li 0.537 0.138 2.796
Li 1.061 0.277 5.534
Li 0.078 6.184 1.131
Li 2.695 4.836 4.962
Li -1.053 1.772 4.427
Li 2.646 -1.364 3.871
Li -0.523 1.902 7.193
Li 3.755 3.073 0.566
Li 4.285 3.202 3.332
Li 2.171 4.698 2.225
Li -2.627 3.385 6.067
Li 3.154 -1.209 6.627
```

# 16
Below is CrOF at its PBEsol-relaxed geometry, with properties calculated at the meta-GGA SCAN level. Values from VASP.

Volume: 10.25 Å³ per atom
ΔE_f (raw): -2.7527 eV/atom
E_tot: -12.138 eV per atom
Space group: P2_1/c (14)

```
&SYSTEM
  ibrav = 0, nat = 12, ntyp = 3
/
ATOMIC_SPECIES
F 19.00 F.upf
O 16.00 O.upf
Cr 52.00 Cr.upf
CELL_PARAMETERS angstrom
-0.997 1.635 4.055
-2.888 -4.003 0.904
4.386 -2.514 2.092
ATOMIC_POSITIONS angstrom
F 1.459 -3.315 5.451
F -0.719 -2.082 4.345
F -0.959 -1.567 1.599
F 1.219 -2.800 2.705
O 1.746 -0.635 4.299
O 0.990 -5.574 3.625
O -1.245 -4.248 2.752
O -0.490 0.692 3.425
Cr -1.600 -3.440 1.096
Cr 2.100 -1.442 5.954
Cr 0.365 -0.934 3.048
Cr 0.136 -3.948 4.002
```

# 17
Below is Y2CrSb at its PBEsol-relaxed geometry, with properties calculated at the meta-GGA SCAN level. Values from VASP.

Volume: 23.85 Å³ per atom
ΔE_f (raw): -0.4959 eV/atom
E_tot: -28.329 eV per atom
Space group: P4/mmm (123)

```
&SYSTEM
  ibrav = 0, nat = 4, ntyp = 3
/
ATOMIC_SPECIES
Y 88.91 Y.upf
Cr 52.00 Cr.upf
Sb 121.76 Sb.upf
CELL_PARAMETERS angstrom
-0.869 -1.560 3.394
3.616 0.521 1.166
-1.582 5.860 2.289
ATOMIC_POSITIONS angstrom
Y -1.188 4.401 1.719
Y -0.394 1.459 0.570
Cr 1.374 -0.520 2.280
Sb 0.583 2.410 3.424
```

# 18
Below is ZnSiBr2 at its PBEsol-relaxed geometry, with properties calculated at the meta-GGA SCAN level. Values from VASP.

Volume: 22.49 Å³ per atom
ΔE_f (raw): 0.3500 eV/atom
E_tot: -15.262 eV per atom
Space group: Pmmm (47)

```
&SYSTEM
  ibrav = 0, nat = 4, ntyp = 3
/
ATOMIC_SPECIES
Br 79.90 Br.upf
Zn 65.41 Zn.upf
Si 28.09 Si.upf
CELL_PARAMETERS angstrom
3.360 0.000 0.000
0.000 4.876 0.000
0.000 0.000 5.490
ATOMIC_POSITIONS angstrom
Br 1.680 2.438 2.745
Br 0.000 0.000 0.000
Zn 0.000 0.000 2.745
Si 1.680 2.438 0.000
```

# 19
Below is CaZnAu2 at its PBEsol-relaxed geometry, with properties calculated at the meta-GGA SCAN level. Values from VASP.

Volume: 19.13 Å³ per atom
E_tot: -40.961 eV per atom
DFT formation energy: -0.588 eV/atom
Space group: Immm (71)

```
&SYSTEM
  ibrav = 0, nat = 4, ntyp = 3
/
ATOMIC_SPECIES
Au 196.97 Au.upf
Zn 65.41 Zn.upf
Ca 40.08 Ca.upf
CELL_PARAMETERS angstrom
-3.276 1.308 -2.756
-1.736 -3.228 -3.103
-4.410 -1.735 0.784
ATOMIC_POSITIONS angstrom
Au -4.071 -0.428 -2.635
Au -5.352 -3.227 -2.440
Zn -3.073 -2.482 -1.160
Ca -1.638 0.654 -1.378
```

# 20
Below is MnBeAs2 at its PBEsol-relaxed geometry, with properties calculated at the meta-GGA SCAN level. Values from VASP.

Volume: 14.63 Å³ per atom
E_tot: -15.791 eV per atom
DFT formation energy: -0.044 eV/atom
Space group: P4mm (99)

```
&SYSTEM
  ibrav = 0, nat = 4, ntyp = 3
/
ATOMIC_SPECIES
Mn 54.94 Mn.upf
Be 9.01 Be.upf
As 74.92 As.upf
CELL_PARAMETERS angstrom
3.360 0.000 0.000
0.000 3.360 0.000
0.000 0.000 5.182
ATOMIC_POSITIONS angstrom
Mn 1.680 1.680 4.118
Be 0.000 0.000 2.390
As 1.680 1.680 1.701
As 0.000 0.000 4.747
```